Density functional theory data (PBE+U) for an optimized crystal structure of LiMnPO4.

Computed properties:
Excess energy over the best structure of this formula in the dataset: 0.32 eV/f.u.

Unit cell a=5.5341 b=5.5341 c=8.4998 alpha=91.32 beta=91.32 gamma=124.49
Closest atoms and distances in Å follow each position.
Fractional coordinates of all 14 atoms:
1 O 0.4342 0.7894 0.4631  1 P 1.55
2 O 0.4628 0.9146 0.8435  1 P 1.56
3 O 0.2703 0.9419 0.2198  1 P 1.56
4 O 0.3406 0.5437 0.1867  1 P 1.55
5 O 0.9146 0.4628 0.3435  1 P 1.56
6 O 0.7894 0.4342 0.9631  1 P 1.55
7 O 0.9419 0.2703 0.7198  1 P 1.56
8 O 0.5437 0.3406 0.6867  1 P 1.55
9 P 0.2436 0.6847 0.3075  4 O 1.55-1.56
10 P 0.6847 0.2436 0.8075  4 O 1.55-1.56
11 Mn 0.3767 0.5859 0.6776  4 O 2.03-2.10
12 Mn 0.5859 0.3767 0.1776  4 O 2.03-2.10
13 Li 0.2143 0.7127 0.0105  4 O 1.89-2.09
14 Li 0.7127 0.2143 0.5105  4 O 1.89-2.09